Record 1
# Zn3NiHg

An optimized crystal structure of Zn3NiHg (PBE-GGA, Alexandria).

Results
Relative energy among the computed polymorphs: 0.000 eV/atom
E_form: 0.17 eV/atom

Unit cell a=4.6272 b=4.6272 c=4.6272 alpha=90.00 beta=90.00 gamma=90.00
Space group Pm-3m (No. 221)
One atom of each set of equivalent atoms:
Zn  0.0000  0.0000  0.5000 (multiplicity 3)
Ni  0.0000  0.0000  0.0000 (multiplicity 1)
Hg  0.5000  0.5000  0.5000 (multiplicity 1)

=====

Record 2
# Al6Zn2Ga

An optimized crystal structure of Al6Zn2Ga (PBE-GGA, Alexandria).

Results
Relative energy among the computed polymorphs: 0.011 eV/atom
E_form: 0.08 eV/atom

Unit cell a=14.3881 b=7.9593 c=5.5554 alpha=90.00 beta=91.08 gamma=90.00
Space group C2/c (No. 15)
One atom of each set of equivalent atoms:
Al  0.0822  0.0001  0.3706 (multiplicity 8)
Al  0.1399  0.2922  0.1093 (multiplicity 8)
Al  0.1413  0.2910  0.6093 (multiplicity 8)
Zn  0.2476  0.0006  0.1299 (multiplicity 8)
Ga  0.0000  0.4978  0.7500 (multiplicity 4)

=====

Record 3
# Cs3RbAu4

An optimized crystal structure of Cs3RbAu4 (PBE-GGA, Alexandria).

Results
Relative energy among the computed polymorphs: 0.010 eV/atom
E_form: -0.30 eV/atom

Unit cell a=7.3259 b=7.3259 c=7.3259 alpha=90.00 beta=90.00 gamma=90.00
Space group Pm-3m (No. 221)
One atom of each set of equivalent atoms:
Cs  0.0000  0.0000  0.5000 (multiplicity 3)
Rb  0.5000  0.5000  0.5000 (multiplicity 1)
Au  0.0000  0.0000  0.0000 (multiplicity 1)
Au  0.0000  0.5000  0.5000 (multiplicity 3)

=====

Record 4
# InAsBr2

An optimized crystal structure of InAsBr2 (PBE-GGA, Alexandria).

Results
Relative energy among the computed polymorphs: 0.563 eV/atom
E_form (uncorrected): 0.24 eV/atom

Unit cell a=7.3708 b=7.3708 c=7.3708 alpha=90.00 beta=90.00 gamma=90.00
Space group F-43m (No. 216)
One atom of each set of equivalent atoms:
In  0.0000  0.0000  0.0000 (multiplicity 4)
As  0.2500  0.2500  0.7500 (multiplicity 4)
Br  0.0000  0.0000  0.5000 (multiplicity 4)
Br  0.2500  0.2500  0.2500 (multiplicity 4)

=====

Record 5
# Tb2Pr8Cd

An optimized crystal structure of Tb2Pr8Cd (PBE-GGA, Alexandria).

Results
Relative energy among the computed polymorphs: 0.000 eV/atom
E_form: -0.02 eV/atom

Unit cell a=11.5341 b=5.1601 c=12.9247 alpha=90.00 beta=104.27 gamma=90.00
Space group C2/m (No. 12)
One atom of each set of equivalent atoms:
Tb  0.1841  0.0000  0.2613 (multiplicity 4)
Pr  0.0369  0.5000  0.8225 (multiplicity 4)
Pr  0.0907  0.0000  0.6408 (multiplicity 4)
Pr  0.1407  0.5000  0.4526 (multiplicity 4)
Pr  0.2443  0.5000  0.0872 (multiplicity 4)
Cd  0.0000  0.0000  0.0000 (multiplicity 2)

=====

Record 6
# InTeOs3

An optimized crystal structure of InTeOs3 (PBE-GGA, Alexandria).

Results
Relative energy among the computed polymorphs: 0.000 eV/atom
E_form (uncorrected): 2.19 eV/atom

Unit cell a=4.8118 b=4.8118 c=4.8118 alpha=90.00 beta=90.00 gamma=90.00
Space group Pm-3m (No. 221)
One atom of each set of equivalent atoms:
In  0.0000  0.0000  0.0000 (multiplicity 1)
Te  0.5000  0.5000  0.5000 (multiplicity 1)
Os  0.0000  0.5000  0.5000 (multiplicity 3)

=====

Record 7
# Sm2UTe5

An optimized crystal structure of Sm2UTe5 (PBE-GGA, Alexandria).

Results
Relative energy among the computed polymorphs: 0.000 eV/atom
E_form (uncorrected): -1.09 eV/atom

Unit cell a=4.3668 b=4.3734 c=26.6965 alpha=90.00 beta=90.00 gamma=90.00
Space group Pmm2 (No. 25)
One atom of each set of equivalent atoms:
Sm  0.0000  0.0000  0.0000 (multiplicity 1)
Sm  0.0000  0.0000  0.3291 (multiplicity 1)
Sm  0.0000  0.0000  0.6592 (multiplicity 1)
Sm  0.5000  0.5000  0.5018 (multiplicity 1)
U  0.5000  0.5000  0.1737 (multiplicity 1)
U  0.5000  0.5000  0.8428 (multiplicity 1)
Te  0.0000  0.0000  0.2051 (multiplicity 1)
Te  0.0000  0.0000  0.5365 (multiplicity 1)
Te  0.0000  0.0000  0.8772 (multiplicity 1)
Te  0.0000  0.5000  0.0868 (multiplicity 1)
Te  0.0000  0.5000  0.4152 (multiplicity 1)
Te  0.0000  0.5000  0.7530 (multiplicity 1)
Te  0.5000  0.0000  0.7531 (multiplicity 1)
Te  0.5000  0.5000  0.2946 (multiplicity 1)
Te  0.5000  0.5000  0.6249 (multiplicity 1)
Te  0.5000  0.5000  0.9654 (multiplicity 1)

=====

Record 8
# Pm2NdTe

An optimized crystal structure of Pm2NdTe (PBE-GGA, Alexandria).

Results
Relative energy among the computed polymorphs: 0.128 eV/atom
E_form (uncorrected): -0.56 eV/atom

Unit cell a=3.9608 b=3.9608 c=30.4682 alpha=90.00 beta=90.00 gamma=120.00
Space group R-3m (No. 166, hexagonal axes)
One atom of each set of equivalent atoms:
Pm  0.0000  0.0000  0.2376 (multiplicity 6)
Nd  0.0000  0.0000  0.0000 (multiplicity 3)
Te  0.0000  0.0000  0.5000 (multiplicity 3)

=====

Record 9
# MgZr2In

An optimized crystal structure of MgZr2In (PBE-GGA, Alexandria).

Results
E_form: -0.19 eV/atom

Unit cell a=4.4307 b=4.4307 c=4.4768 alpha=90.00 beta=90.00 gamma=90.00
Space group P4/mmm (No. 123)
One atom of each set of equivalent atoms:
Mg  0.0000  0.0000  0.0000 (multiplicity 1)
Zr  0.0000  0.5000  0.5000 (multiplicity 2)
In  0.5000  0.5000  0.0000 (multiplicity 1)

=====

One value per record, in order, for raw total energy: -9.1; -109.1; -19.0; -39.1; -97.2; -28.6; -90.3; -59.0; -22.2 eV/cell.
One value per record, in order, for volume: 99.07; 636.08; 393.18; 400.44; 745.51; 111.41; 509.84; 413.95; 87.89 Å³/cell.